{"formula": "K2NaNdF6", "functional": "PBE", "state": "relaxed", "raw_formation_energy_ev_per_atom": -3.241, "final_energy_ev_per_fu": -51.92, "magmom_total_mub_per_fu": 0.0, "rho_g_cm3": 3.19, "cell": [[0.0000, 4.5388, 4.5388], [4.5388, 0.0000, 4.5388], [4.5388, 4.5388, 0.0000]], "species": ["K", "K", "Na", "Nd", "F", "F", "F", "F", "F", "F"], "fractional_positions": [[0.2500, 0.2500, 0.2500], [0.7500, 0.7500, 0.7500], [0.0000, 0.0000, 0.0000], [0.5000, 0.5000, 0.5000], [0.2502, 0.2502, 0.7498], [0.2502, 0.7498, 0.2502], [0.2502, 0.7498, 0.7498], [0.7498, 0.2502, 0.2502], [0.7498, 0.2502, 0.7498], [0.7498, 0.7498, 0.2502]]}